1.
## PbSe2 (PBE)

Data for crystalline PbSe2 at its relaxed geometry.

Lattice parameters (Å, degrees): 5.965 5.965 5.080 90.00 90.00 124.39
Element x y z (fractional)
Pb (0.751, 0.751, 0.250)
Se (0.584, 0.912, 0.750)
Se (0.088, 0.416, 0.250)
Se (0.416, 0.088, 0.250)
Se (0.912, 0.584, 0.750)
Pb (0.249, 0.249, 0.750)

Properties
Volume (Å³/cell): 149.2
Energy relative to the elements, uncorrected (eV per atom): 0.0525



2.
## PbSe (PBE)

Data for crystalline PbSe at its relaxed geometry.

Lattice parameters (Å, degrees): 7.488 7.488 4.400 72.92 72.92 34.17
Element x y z (fractional)
Pb (0.138, 0.155, 0.845)
Se (0.345, 0.362, 0.638)
Se (0.638, 0.655, 0.345)
Pb (0.845, 0.862, 0.138)

Properties
Volume (Å³/cell): 131.8
Energy relative to the elements, uncorrected (eV per atom): -0.4938